Record 1
A geometry-optimized ThCu2PN4 structure, computed with PBE.

The structure belongs to space group I-42m (No. 121); the cell edges are 5.315, 5.315 and 6.467 Å and the angles 90.00°, 90.00° and 90.00°. The inequivalent atoms are Th at (0.000, 0.000, 0.000), Cu at (0.000, 0.500, 0.250), P at (0.000, 0.000, 0.500) and N at (0.181, 0.181, 0.647).


Record 2
A geometry-optimized TiCu2PN structure, computed with PBE.

The structure belongs to space group P4/mmm (No. 123); the cell edges are 4.824, 4.824 and 3.637 Å and the angles 90.00°, 90.00° and 90.00°. The inequivalent atoms are Ti at (0.000, 0.000, 0.000), Cu at (0.000, 0.500, 0.000), P at (0.500, 0.500, 0.500) and N at (0.000, 0.000, 0.500).


Record 3
A geometry-optimized UCuPN structure, computed with PBE.

The structure belongs to space group P4/nmm (No. 129, origin choice 2); the cell edges are 3.759, 3.759 and 8.094 Å and the angles 90.00°, 90.00° and 90.00°. The inequivalent atoms are U at (0.250, 0.250, 0.151), Cu at (0.250, 0.750, 0.500), P at (0.250, 0.250, 0.680) and N at (0.250, 0.750, 0.000).


Record 4
A geometry-optimized Pa3CuN structure, computed with PBE.

The structure belongs to space group Pm-3m (No. 221); the cell edges are 4.668, 4.668 and 4.668 Å and the angles 90.00°, 90.00° and 90.00°. The inequivalent atoms are Pa at (0.000, 0.000, 0.500), Cu at (0.500, 0.500, 0.500) and N at (0.000, 0.000, 0.000).


Record 5
A geometry-optimized Pa2CuN structure, computed with PBE.

The structure belongs to space group R-3m (No. 166, hexagonal axes); the cell edges are 3.3072, 3.3072 and 22.9735 Å and the angles 90.00°, 90.00° and 120.00°. The inequivalent atoms are Pa at (0.0000, 0.0000, 0.2321), Cu at (0.0000, 0.0000, 0.0000) and N at (0.0000, 0.0000, 0.5000).


Record 6
A geometry-optimized PaCuN structure, computed with PBE.

The offset from the most stable computed form is 0.000 eV per atom.

The structure belongs to space group P-6m2 (No. 187); the cell edges are 3.8246, 3.8246 and 4.2359 Å and the angles 90.00°, 90.00° and 120.00°. The inequivalent atoms are Pa at (0.0000, 0.0000, 0.0000), Cu at (0.6667, 0.3333, 0.5000) and N at (0.3333, 0.6667, 0.0000).


Record 7
A geometry-optimized Pa2CuN4 structure, computed with PBE.

The structure belongs to space group C2/m (No. 12); the cell edges are 13.089, 3.730 and 9.407 Å and the angles 90.00°, 117.61° and 90.00°. The inequivalent atoms are Pa at (0.113, 0.000, 0.430), Pa at (0.168, 0.500, 0.803), Cu at (0.098, 0.500, 0.129), N at (0.031, 0.500, 0.262), N at (0.082, 0.000, 0.652), N at (0.211, 0.500, 0.069) and N at (0.215, 0.500, 0.589).


Record 8
A geometry-optimized PaCuN structure, computed with PBE.

The offset from the most stable computed form is 0.504 eV per atom.

The structure belongs to space group I4mm (No. 107); the cell edges are 3.870, 3.870 and 6.685 Å and the angles 90.00°, 90.00° and 90.00°. The inequivalent atoms are Pa at (0.000, 0.000, 0.000), Cu at (0.000, 0.000, 0.399) and N at (0.000, 0.000, 0.690).


Record 9
A geometry-optimized PaCuN structure, computed with PBE.

The offset from the most stable computed form is 0.040 eV per atom.

The structure belongs to space group I4mm (No. 107); the cell edges are 3.312, 3.312 and 9.721 Å and the angles 90.00°, 90.00° and 90.00°. The inequivalent atoms are Pa at (0.000, 0.000, 0.000), Cu at (0.000, 0.000, 0.711) and N at (0.000, 0.000, 0.500).


Record 10
A geometry-optimized Pa2CuPdN5 structure, computed with PBE.

The structure belongs to space group Cmc2_1 (No. 36); the cell edges are 3.354, 13.341 and 9.628 Å and the angles 90.00°, 90.00° and 90.00°. The inequivalent atoms are Pa at (0.000, 0.111, 0.000), Pa at (0.000, 0.139, 0.610), Cu at (0.000, 0.477, 0.783), Pd at (0.000, 0.201, 0.313), N at (0.000, 0.045, 0.382), N at (0.000, 0.285, 0.973), N at (0.000, 0.309, 0.647), N at (0.000, 0.362, 0.309) and N at (0.000, 0.491, 0.087).


Record 11
A geometry-optimized PmPa2CuN5 structure, computed with PBE.

The structure belongs to space group Cmc2_1 (No. 36); the cell edges are 3.541, 13.232 and 10.887 Å and the angles 90.00°, 90.00° and 90.00°. The inequivalent atoms are Pm at (0.000, 0.145, 0.000), Pa at (0.000, 0.093, 0.306), Pa at (0.000, 0.180, 0.701), Cu at (0.000, 0.462, 0.057), N at (0.000, 0.007, 0.635), N at (0.000, 0.270, 0.336), N at (0.000, 0.313, 0.078), N at (0.000, 0.346, 0.680) and N at (0.000, 0.498, 0.381).


Record 12
A geometry-optimized PrPa2CuN5 structure, computed with PBE.

The structure belongs to space group Cmc2_1 (No. 36); the cell edges are 3.377, 17.325 and 8.729 Å and the angles 90.00°, 90.00° and 90.00°. The inequivalent atoms are Pr at (0.000, 0.227, 0.000), Pa at (0.000, 0.081, 0.707), Pa at (0.000, 0.104, 0.314), Cu at (0.000, 0.439, 0.501), N at (0.000, 0.008, 0.938), N at (0.000, 0.319, 0.692), N at (0.000, 0.353, 0.339), N at (0.000, 0.370, 0.007) and N at (0.000, 0.483, 0.705).


Record 13
A geometry-optimized PaCuPtN structure, computed with PBE.

The structure belongs to space group P4/nmm (No. 129, origin choice 2); the cell edges are 3.774, 3.774 and 9.129 Å and the angles 90.00°, 90.00° and 90.00°. The inequivalent atoms are Pa at (0.250, 0.250, 0.137), Cu at (0.250, 0.750, 0.500), Pt at (0.250, 0.250, 0.695) and N at (0.250, 0.750, 0.000).


Record 14
A geometry-optimized RbPa2CuN4 structure, computed with PBE.

The structure belongs to space group I-42m (No. 121); the cell edges are 5.623, 5.623 and 8.976 Å and the angles 90.00°, 90.00° and 90.00°. The inequivalent atoms are Rb at (0.000, 0.000, 0.000), Pa at (0.000, 0.500, 0.250), Cu at (0.000, 0.000, 0.500) and N at (0.202, 0.202, 0.343).


Record 15
A geometry-optimized Pa2CuReN6 structure, computed with PBE.

The structure belongs to space group P4mm (No. 99); the cell edges are 5.197, 5.197 and 4.967 Å and the angles 90.00°, 90.00° and 90.00°. The inequivalent atoms are Pa at (0.000, 0.500, 0.000), Cu at (0.000, 0.000, 0.535), Re at (0.500, 0.500, 0.595), N at (0.000, 0.000, 0.153), N at (0.256, 0.256, 0.736) and N at (0.500, 0.500, 0.219).


Record 16
A geometry-optimized PaCuSN structure, computed with PBE.

The structure belongs to space group R-3m (No. 166, hexagonal axes); the cell edges are 3.8693, 3.8693 and 29.7773 Å and the angles 90.00°, 90.00° and 120.00°. The inequivalent atoms are Pa at (0.0000, 0.0000, 0.1199), Cu at (0.0000, 0.0000, 0.3058), S at (0.0000, 0.0000, 0.3868) and N at (0.0000, 0.0000, 0.1945).


Record 17
A geometry-optimized ScPa2CuN5 structure, computed with PBE.

The structure belongs to space group Cmc2_1 (No. 36); the cell edges are 3.358, 13.044 and 10.083 Å and the angles 90.00°, 90.00° and 90.00°. The inequivalent atoms are Sc at (0.000, 0.197, 0.000), Pa at (0.000, 0.108, 0.678), Pa at (0.000, 0.140, 0.296), Cu at (0.000, 0.479, 0.465), N at (0.000, 0.048, 0.081), N at (0.000, 0.283, 0.665), N at (0.000, 0.316, 0.357), N at (0.000, 0.363, 0.002) and N at (0.000, 0.488, 0.776).


Record 18
A geometry-optimized PaCuSeN structure, computed with PBE.

The structure belongs to space group R-3m (No. 166, hexagonal axes); the cell edges are 3.9349, 3.9349 and 31.1551 Å and the angles 90.00°, 90.00° and 120.00°. The inequivalent atoms are Pa at (0.0000, 0.0000, 0.1228), Cu at (0.0000, 0.0000, 0.3083), Se at (0.0000, 0.0000, 0.3891) and N at (0.0000, 0.0000, 0.1934).


Record 19
A geometry-optimized Pa2CuSe2N2 structure, computed with PBE.

The structure belongs to space group P-3m1 (No. 164); the cell edges are 3.9289, 3.9289 and 11.1249 Å and the angles 90.00°, 90.00° and 120.00°. The inequivalent atoms are Pa at (0.3333, 0.6667, 0.1278), Cu at (0.0000, 0.0000, 0.5000), Se at (0.0000, 0.0000, 0.2965) and N at (0.3333, 0.6667, 0.9252).


Record 20
A geometry-optimized SmPa2CuN4 structure, computed with PBE.

The structure belongs to space group Cmcm (No. 63); the cell edges are 3.539, 11.467 and 11.492 Å and the angles 90.00°, 90.00° and 90.00°. The inequivalent atoms are Sm at (0.000, 0.099, 0.250), Pa at (0.000, 0.371, 0.057), Cu at (0.000, 0.170, 0.750), N at (0.000, 0.000, 0.000), N at (0.000, 0.270, 0.610) and N at (0.000, 0.443, 0.250).


Density of states at the Fermi level: 5.269 2.614 8.009 4.515 15.773 2.496 23.392 5.430 5.406 18.098 22.199 15.256 4.947 1.546 0.123 10.772 19.079 9.801 3.184 21.257 (states/eV/cell)
Uncorrected energy: -117.81 -24.96 -66.09 -42.90 -100.79 -23.31 -258.11 -43.59 -46.38 -297.84 -315.00 -311.90 -63.55 -123.75 -90.45 -185.07 -323.57 -179.35 -55.95 -283.16 (eV for the cell shown)